VASP calculation (PBE) on a geometry-optimized SiSN2O structure.

Results
Size of the total moment   0.00 μB/cell
Space-group type   P4/mmm, No. 123
Energy relative to the elements, uncorrected   1219 meV per atom
Density of states at the Fermi level   0.383 states/eV/atom
Crystal system   tetragonal

Geometry as extended XYZ:
```
5
Lattice="-0.397 3.065 1.789 -1.042 -1.821 2.890 3.447 -0.204 1.114" Properties=species:S:1:pos:R:3 pbc="T T T"
S 0.000 0.000 0.000
Si 1.004 0.520 2.896
O 1.723 -0.102 0.557
N -0.521 -0.911 1.445
N -0.198 1.533 0.894
```

---

VASP calculation (PBE) on a geometry-optimized Sm2HfSbN5 structure.

Results
Size of the total moment   0.00 μB/cell
Space-group type   Cmc2_1, No. 36
Energy relative to the elements, uncorrected   -939 meV per atom
Crystal system   orthorhombic

Geometry as extended XYZ:
```
18
Lattice="3.370 0.000 0.000 -1.685 6.908 0.000 0.000 0.000 10.653" Properties=species:S:1:pos:R:3 pbc="T T T"
Sm 1.685 4.942 8.367
Sm 0.000 1.557 7.444
Sm 0.000 1.966 3.040
Sm 1.685 5.351 2.117
Hf 1.685 3.816 5.431
Hf 0.000 3.092 0.105
Sb 1.685 0.327 10.247
Sb 0.000 6.580 4.920
N 0.000 5.156 0.017
N 1.685 2.547 9.367
N 0.000 6.801 8.285
N 0.000 3.878 6.907
N 1.685 6.125 5.980
N 1.685 1.751 5.344
N 0.000 4.361 4.040
N 1.685 0.107 2.959
N 1.685 3.029 1.580
N 0.000 0.783 0.653
```

---

VASP calculation (PBE) on a geometry-optimized CeHPt3 structure.

Results
Size of the total moment   0.90 μB/cell
Space-group type   Pm-3m, No. 221
Density of states at the Fermi level   1.408 states/eV/atom
Crystal system   cubic
Total DFT energy (no corrections)   -6.0583 eV per atom

Geometry as extended XYZ:
```
5
Lattice="-4.060 0.096 -1.264 -0.866 -3.307 2.530 -0.926 2.673 3.176" Properties=species:S:1:pos:R:3 pbc="T T T"
H 0.000 0.000 0.000
Ce -2.926 -0.269 2.221
Pt -0.433 -1.653 1.265
Pt -0.463 1.336 1.588
Pt -2.030 0.048 -0.632
```

---

VASP calculation (PBE) on a geometry-optimized Dy2HPdPt6 structure.

Results
Size of the total moment   0.00 μB/cell
Space-group type   R-3m, No. 166
Density of states at the Fermi level   0.406 states/eV/atom
Crystal system   trigonal
Total DFT energy (no corrections)   -6.0862 eV per atom

Geometry as extended XYZ:
```
10
Lattice="-4.290 -0.276 3.480 -0.842 -7.015 -1.596 -0.075 -6.158 3.814" Properties=species:S:1:pos:R:3 pbc="T T T"
Dy -3.594 -4.302 4.019
Dy -1.614 -9.146 1.679
H 0.000 0.000 0.000
Pd -2.566 -3.645 0.942
Pt -1.254 -5.338 2.425
Pt -3.761 -5.899 1.470
Pt -1.635 -5.763 -0.256
Pt -3.572 -7.685 5.953
Pt -1.447 -7.549 4.228
Pt -3.953 -8.110 3.273
```

---

VASP calculation (PBE) on a geometry-optimized NpIn2Au6 structure.

Results
Size of the total moment   4.43 μB/cell
Space-group type   Immm, No. 71
ΔE_f   -0.13 eV/atom
Density of states at the Fermi level   1.034 states/eV/atom
Crystal system   orthorhombic

Geometry as extended XYZ:
```
9
Lattice="3.270 0.000 0.000 1.635 8.027 0.737 1.635 3.011 7.477" Properties=species:S:1:pos:R:3 pbc="T T T"
Np 3.270 5.519 4.107
In 1.635 1.625 1.209
In 4.906 9.413 7.005
Au 1.635 4.434 1.535
Au 4.906 6.604 6.679
Au 4.906 8.294 4.408
Au 1.635 3.869 6.324
Au 1.635 7.169 1.890
Au 1.635 2.744 3.806
```

---

VASP calculation (PBE) on a geometry-optimized TbYTe2 structure.

Results
Energy above the lowest structure with this stoichiometry   56 kJ/mol of formula units
Size of the total moment   1.11 μB/cell
Space-group type   P4/mmm, No. 123
Energy relative to the elements, uncorrected   -1190 meV per atom
Density of states at the Fermi level   0.642 states/eV/atom
Crystal system   tetragonal

Geometry as extended XYZ:
```
4
Lattice="3.792 0.000 0.000 0.000 3.792 0.000 0.000 0.000 7.588" Properties=species:S:1:pos:R:3 pbc="T T T"
Y 1.896 1.896 0.000
Te 0.000 0.000 5.690
Te 0.000 0.000 1.898
Tb 1.896 1.896 3.794
```

---

VASP calculation (PBE) on a geometry-optimized LaEr2Cd2Hg2 structure.

Results
Size of the total moment   0.02 μB/cell
Space-group type   R-3m, No. 166
ΔE_f   -0.28 eV/atom
Density of states at the Fermi level   0.693 states/eV/atom
Crystal system   trigonal

Geometry as extended XYZ:
```
7
Lattice="4.966 0.000 0.000 2.483 4.301 0.000 2.483 1.434 8.970" Properties=species:S:1:pos:R:3 pbc="T T T"
La 0.000 0.000 0.000
Er 2.483 1.434 5.549
Er 7.449 4.301 3.421
Cd 4.966 2.867 1.949
Cd 4.966 2.867 7.021
Hg 7.449 4.301 6.683
Hg 2.483 1.434 2.287
```

---

VASP calculation (PBE) on a geometry-optimized HoSbIrPd structure.

Results
Size of the total moment   0.00 μB/cell
Space-group type   F-43m, No. 216
Energy relative to the elements, uncorrected   -632 meV per atom
Density of states at the Fermi level   0.673 states/eV/atom
Crystal system   cubic

Geometry as extended XYZ:
```
4
Lattice="-2.097 -4.146 -1.078 -0.359 -3.421 3.304 -4.256 -1.076 1.866" Properties=species:S:1:pos:R:3 pbc="T T T"
Sb -5.033 -6.482 3.069
Ir 0.000 0.000 0.000
Ho -1.678 -2.161 1.023
Pd -3.356 -4.322 2.046
```

---

VASP calculation (PBE) on a geometry-optimized ScTa4Mn5 structure.

Results
Size of the total moment   1.15 μB/cell
Space-group type   P4/mmm, No. 123
ΔE_f   -0.17 eV/atom
Density of states at the Fermi level   0.771 states/eV/atom
Crystal system   tetragonal

Geometry as extended XYZ:
```
10
Lattice="3.075 0.000 0.000 0.000 3.075 0.000 0.000 0.000 15.479" Properties=species:S:1:pos:R:3 pbc="T T T"
Sc 0.000 0.000 0.000
Ta 0.000 0.000 3.123
Ta 0.000 0.000 6.205
Ta 0.000 0.000 9.274
Ta 0.000 0.000 12.356
Mn 1.537 1.537 1.727
Mn 1.537 1.537 4.713
Mn 1.537 1.537 7.740
Mn 1.537 1.537 10.766
Mn 1.537 1.537 13.752
```

---

VASP calculation (PBE) on a geometry-optimized TcNiHg2 structure.

Results
Energy above the lowest structure with this stoichiometry   90 kJ/mol of formula units
Size of the total moment   0.00 μB/cell
Space-group type   C2/m, No. 12
ΔE_f   0.56 eV/atom
Density of states at the Fermi level   1.058 states/eV/atom
Crystal system   monoclinic

Geometry as extended XYZ:
```
4
Lattice="-0.534 5.565 -3.523 -2.380 -4.204 -1.230 -2.485 1.349 0.214" Properties=species:S:1:pos:R:3 pbc="T T T"
Hg 0.000 0.000 0.000
Hg -1.509 3.457 -1.655
Ni -2.433 -1.428 -0.508
Tc -1.457 0.680 -2.377
```

---

VASP calculation (PBE) on a geometry-optimized CsBeIr2Cl structure.

Results
Size of the total moment   0.00 μB/cell
Space-group type   P4/mmm, No. 123
Energy relative to the elements, uncorrected   1550 meV per atom
Density of states at the Fermi level   1.391 states/eV/atom
Crystal system   tetragonal

Geometry as extended XYZ:
```
5
Lattice="4.492 0.000 0.000 0.000 6.047 0.000 0.000 0.000 4.492" Properties=species:S:1:pos:R:3 pbc="T T T"
Cs 2.246 3.024 2.246
Be 0.000 3.024 0.000
Ir 0.000 0.000 2.246
Ir 2.246 0.000 0.000
Cl 0.000 0.000 0.000
```

---

VASP calculation (PBE) on a geometry-optimized Pu2Cd2Hg5 structure.

Results
Size of the total moment   24.67 μB/cell
Space-group type   Ima2, No. 46
ΔE_f   0.00 eV/atom
Density of states at the Fermi level   2.281 states/eV/atom
Crystal system   orthorhombic

Geometry as extended XYZ:
```
18
Lattice="-7.615 3.460 -1.568 -0.080 -2.573 -5.289 -0.273 -7.851 7.095" Properties=species:S:1:pos:R:3 pbc="T T T"
Pu -1.503 -1.619 -1.835
Pu -6.450 -4.854 3.085
Pu -3.516 -2.009 -4.886
Pu -4.518 -7.037 0.847
Cd -0.073 -2.323 -4.774
Cd -3.840 0.694 -2.914
Cd -2.793 -4.323 -0.239
Cd -5.154 -1.945 1.910
Hg -1.543 -7.389 2.591
Hg -6.451 -0.384 -4.014
Hg -1.455 -6.124 5.245
Hg -6.459 0.924 -1.379
Hg -1.934 -1.926 1.627
Hg -6.019 -4.519 -0.321
Hg -4.623 -2.009 -1.563
Hg -3.330 -4.436 2.869
Hg -0.474 -6.115 -1.254
Hg -7.519 -1.609 -0.068
```

---

What is the size of the total moment in the sixth record? 1.11 μB/cell